## Pm6TmCd2 (PBE-GGA)

Data for a relaxed Pm6TmCd2 crystal.

## Properties
DOS(E_F): 1.004 states/eV/atom
crystal system: monoclinic
E_form: -1.16 eV/f.u.
energy: -3.9966 eV per atom

abc: 6.713 6.713 12.109
angles: 108.09 108.09 32.92
Positions (direct):
Pm (0.020, 0.020, 0.336)
Pm (0.311, 0.311, 0.411)
Pm (0.316, 0.316, 0.123)
Pm (0.684, 0.684, 0.877)
Pm (0.689, 0.689, 0.589)
Pm (0.980, 0.980, 0.664)
Tm (0.000, 0.000, 0.000)
Cd (0.358, 0.358, 0.803)
Cd (0.642, 0.642, 0.197)